# 1
# LaPb3S | Alexandria | PBE | optimized geometry
# Polymorph energy (0 for the lowest one)   989.7 meV per atom
# Total DFT energy (no corrections)   -3.1323 eV/atom
# E_form (uncorrected)   903.6 meV per atom
# Density of states at the Fermi level   6.76 states/eV per cell
# Crystal system   cubic
# Magnetic moment   2.14 Bohr magnetons per cell
data_LaPb3S
_chemical_formula_sum 'La1 Pb3 S1'
_cell_length_a 6.134
_cell_length_b 6.134
_cell_length_c 6.134
_cell_angle_alpha 90.00
_cell_angle_beta 90.00
_cell_angle_gamma 90.00
_symmetry_space_group_name_H-M 'P m -3 m'
_symmetry_Int_Tables_number 221
_symmetry_space_group_name_Hall '-P 4 2 3'
loop_
_atom_site_label
_atom_site_type_symbol
_atom_site_fract_x
_atom_site_fract_y
_atom_site_fract_z
La1 La 0.000 0.000 0.000
Pb1 Pb 0.000 0.000 0.500
S1 S 0.500 0.500 0.500



# 2
# LaSc4PbS8 | Alexandria | PBE | optimized geometry
# Total DFT energy (no corrections)   -6.4350 eV/atom
# E_form (uncorrected)   -1650.6 meV per atom
# Density of states at the Fermi level   19.29 states/eV per cell
# Crystal system   trigonal
# Magnetic moment   0.01 Bohr magnetons per cell
data_LaSc4PbS8
_chemical_formula_sum 'La3 Sc12 Pb3 S24'
_cell_length_a 7.7127
_cell_length_b 7.7127
_cell_length_c 20.2918
_cell_angle_alpha 90.00
_cell_angle_beta 90.00
_cell_angle_gamma 120.00
_symmetry_space_group_name_H-M 'R 3 m'
_symmetry_Int_Tables_number 160
_symmetry_space_group_name_Hall 'R 3 -2"'
loop_
_atom_site_label
_atom_site_type_symbol
_atom_site_fract_x
_atom_site_fract_y
_atom_site_fract_z
La1 La 0.0000 0.0000 0.0000
Sc1 Sc 0.0000 0.0000 0.6253
Sc2 Sc 0.1670 0.3341 0.8312
Pb1 Pb 0.0000 0.0000 0.3665
S1 S 0.0000 0.0000 0.2270
S2 S 0.0000 0.0000 0.7555
S3 S 0.0246 0.5123 0.7630
S4 S 0.1693 0.3385 0.5737



# 3
# La2ScPbS | Alexandria | PBE | optimized geometry
# Total DFT energy (no corrections)   -5.7581 eV/atom
# E_form (uncorrected)   -953.7 meV per atom
# Density of states at the Fermi level   3.44 states/eV per cell
# Crystal system   tetragonal
# Magnetic moment   0.00 Bohr magnetons per cell
data_La2ScPbS
_chemical_formula_sum 'La2 Sc1 Pb1 S1'
_cell_length_a 5.553
_cell_length_b 5.553
_cell_length_c 4.839
_cell_angle_alpha 90.00
_cell_angle_beta 90.00
_cell_angle_gamma 90.00
_symmetry_space_group_name_H-M 'P 4/m m m'
_symmetry_Int_Tables_number 123
_symmetry_space_group_name_Hall '-P 4 2'
loop_
_atom_site_label
_atom_site_type_symbol
_atom_site_fract_x
_atom_site_fract_y
_atom_site_fract_z
La1 La 0.000 0.500 0.000
Sc1 Sc 0.000 0.000 0.500
Pb1 Pb 0.500 0.500 0.500
S1 S 0.000 0.000 0.000



# 4
# La6PbSe3S2 | Alexandria | PBE | optimized geometry
# Total DFT energy (no corrections)   -6.1171 eV/atom
# E_form (uncorrected)   -1785.3 meV per atom
# Density of states at the Fermi level   13.81 states/eV per cell
# Crystal system   monoclinic
# Magnetic moment   0.00 Bohr magnetons per cell
data_La6PbSe3S2
_chemical_formula_sum 'La12 Pb2 Se6 S4'
_cell_length_a 18.913
_cell_length_b 4.331
_cell_length_c 8.697
_cell_angle_alpha 90.00
_cell_angle_beta 103.53
_cell_angle_gamma 90.00
_symmetry_space_group_name_H-M 'C 1 2/m 1'
_symmetry_Int_Tables_number 12
loop_
_symmetry_equiv_pos_as_xyz
'x,y,z'
'-x,-y,-z'
'-x,y,-z'
'x,-y,z'
'x+1/2,y+1/2,z'
'-x+1/2,-y+1/2,-z'
'-x+1/2,y+1/2,-z'
'x+1/2,-y+1/2,z'
loop_
_atom_site_label
_atom_site_type_symbol
_atom_site_fract_x
_atom_site_fract_y
_atom_site_fract_z
La1 La 0.006 0.000 0.264
La2 La 0.171 0.500 0.575
La3 La 0.172 0.500 0.098
Pb1 Pb 0.000 0.500 0.000
Se1 Se 0.000 0.500 0.500
Se2 Se 0.164 0.000 0.831
S1 S 0.169 0.000 0.336



# 5
# La3SmPb2S | Alexandria | PBE | optimized geometry
# Total DFT energy (no corrections)   -5.3100 eV/atom
# E_form (uncorrected)   -874.9 meV per atom
# Density of states at the Fermi level   9.58 states/eV per cell
# Crystal system   orthorhombic
# Magnetic moment   0.00 Bohr magnetons per cell
data_La3SmPb2S
_chemical_formula_sum 'La6 Sm2 Pb4 S2'
_cell_length_a 5.268
_cell_length_b 5.363
_cell_length_c 16.988
_cell_angle_alpha 90.00
_cell_angle_beta 90.00
_cell_angle_gamma 90.00
_symmetry_space_group_name_H-M 'I m m m'
_symmetry_Int_Tables_number 71
_symmetry_space_group_name_Hall '-I 2 2'
loop_
_atom_site_label
_atom_site_type_symbol
_atom_site_fract_x
_atom_site_fract_y
_atom_site_fract_z
La1 La 0.000 0.000 0.000
La2 La 0.000 0.500 0.170
Sm1 Sm 0.000 0.000 0.500
Pb1 Pb 0.000 0.500 0.365
S1 S 0.000 0.500 0.000



# 6
# LaTc2PbS | Alexandria | PBE | optimized geometry
# Total DFT energy (no corrections)   -4.9574 eV/atom
# E_form (uncorrected)   1741.6 meV per atom
# Density of states at the Fermi level   3.95 states/eV per cell
# Crystal system   tetragonal
# Magnetic moment   4.03 Bohr magnetons per cell
data_LaTc2PbS
_chemical_formula_sum 'La1 Tc2 Pb1 S1'
_cell_length_a 4.804
_cell_length_b 4.804
_cell_length_c 6.457
_cell_angle_alpha 90.00
_cell_angle_beta 90.00
_cell_angle_gamma 90.00
_symmetry_space_group_name_H-M 'P 4/m m m'
_symmetry_Int_Tables_number 123
_symmetry_space_group_name_Hall '-P 4 2'
loop_
_atom_site_label
_atom_site_type_symbol
_atom_site_fract_x
_atom_site_fract_y
_atom_site_fract_z
La1 La 0.000 0.000 0.000
Tc1 Tc 0.000 0.500 0.000
Pb1 Pb 0.000 0.000 0.500
S1 S 0.500 0.500 0.500



# 7
# La4Te2PbS | Alexandria | PBE | optimized geometry
# Total DFT energy (no corrections)   -5.6976 eV/atom
# E_form (uncorrected)   -1469.0 meV per atom
# Density of states at the Fermi level   16.86 states/eV per cell
# Crystal system   orthorhombic
# Magnetic moment   0.00 Bohr magnetons per cell
data_La4Te2PbS
_chemical_formula_sum 'La16 Te8 Pb4 S4'
_cell_length_a 8.958
_cell_length_b 9.128
_cell_length_c 12.789
_cell_angle_alpha 90.00
_cell_angle_beta 90.00
_cell_angle_gamma 90.00
_symmetry_space_group_name_H-M 'I m m a'
_symmetry_Int_Tables_number 74
_symmetry_space_group_name_Hall '-I 2b 2'
loop_
_atom_site_label
_atom_site_type_symbol
_atom_site_fract_x
_atom_site_fract_y
_atom_site_fract_z
La1 La 0.000 0.022 0.249
La2 La 0.248 0.250 0.011
Te1 Te 0.000 0.000 0.500
Te2 Te 0.250 0.250 0.750
Pb1 Pb 0.000 0.000 0.000
S1 S 0.250 0.250 0.250



# 8
# LaTl2PbS4 | Alexandria | PBE | optimized geometry
# Total DFT energy (no corrections)   -4.6385 eV/atom
# E_form (uncorrected)   -903.8 meV per atom
# Density of states at the Fermi level   5.46 states/eV per cell
# Crystal system   monoclinic
# Magnetic moment   0.00 Bohr magnetons per cell
data_LaTl2PbS4
_chemical_formula_sum 'La1 Tl2 Pb1 S4'
_cell_length_a 7.427
_cell_length_b 4.249
_cell_length_c 7.537
_cell_angle_alpha 90.00
_cell_angle_beta 109.68
_cell_angle_gamma 90.00
_symmetry_space_group_name_H-M 'P 1 2/m 1'
_symmetry_Int_Tables_number 10
loop_
_symmetry_equiv_pos_as_xyz
'x,y,z'
'-x,-y,-z'
'-x,y,-z'
'x,-y,z'
loop_
_atom_site_label
_atom_site_type_symbol
_atom_site_fract_x
_atom_site_fract_y
_atom_site_fract_z
La1 La 0.000 0.000 0.000
Tl1 Tl 0.000 0.500 0.500
Tl2 Tl 0.500 0.000 0.500
Pb1 Pb 0.500 0.500 0.000
S1 S 0.232 0.500 0.219
S2 S 0.247 0.000 0.770



# 9
# La3Tl4PbS8 | Alexandria | PBE | optimized geometry
# Total DFT energy (no corrections)   -5.0218 eV/atom
# E_form (uncorrected)   -1210.8 meV per atom
# Density of states at the Fermi level   21.96 states/eV per cell
# Crystal system   trigonal
# Magnetic moment   0.00 Bohr magnetons per cell
data_La3Tl4PbS8
_chemical_formula_sum 'La9 Tl12 Pb3 S24'
_cell_length_a 8.5701
_cell_length_b 8.5701
_cell_length_c 21.7372
_cell_angle_alpha 90.00
_cell_angle_beta 90.00
_cell_angle_gamma 120.00
_symmetry_space_group_name_H-M 'R -3 m'
_symmetry_Int_Tables_number 166
_symmetry_space_group_name_Hall '-R 3 2"'
loop_
_atom_site_label
_atom_site_type_symbol
_atom_site_fract_x
_atom_site_fract_y
_atom_site_fract_z
La1 La 0.0000 0.5000 0.0000
Tl1 Tl 0.0000 0.0000 0.5000
Tl2 Tl 0.0000 0.5000 0.5000
Pb1 Pb 0.0000 0.0000 0.0000
S1 S 0.0000 0.0000 0.2640
S2 S 0.0096 0.5048 0.2611



# 10
# La3TmPb2S | Alexandria | PBE | optimized geometry
# Total DFT energy (no corrections)   -5.2794 eV/atom
# E_form (uncorrected)   -879.7 meV per atom
# Density of states at the Fermi level   9.77 states/eV per cell
# Crystal system   orthorhombic
# Magnetic moment   0.00 Bohr magnetons per cell
data_La3TmPb2S
_chemical_formula_sum 'La6 Tm2 Pb4 S2'
_cell_length_a 5.106
_cell_length_b 5.341
_cell_length_c 17.024
_cell_angle_alpha 90.00
_cell_angle_beta 90.00
_cell_angle_gamma 90.00
_symmetry_space_group_name_H-M 'I m m m'
_symmetry_Int_Tables_number 71
_symmetry_space_group_name_Hall '-I 2 2'
loop_
_atom_site_label
_atom_site_type_symbol
_atom_site_fract_x
_atom_site_fract_y
_atom_site_fract_z
La1 La 0.000 0.000 0.000
La2 La 0.000 0.500 0.169
Tm1 Tm 0.000 0.000 0.500
Pb1 Pb 0.000 0.500 0.365
S1 S 0.000 0.500 0.000



# 11
# LaY2PbS | Alexandria | PBE | optimized geometry
# Total DFT energy (no corrections)   -6.0484 eV/atom
# E_form (uncorrected)   -910.2 meV per atom
# Density of states at the Fermi level   4.98 states/eV per cell
# Crystal system   tetragonal
# Magnetic moment   0.00 Bohr magnetons per cell
data_LaY2PbS
_chemical_formula_sum 'La1 Y2 Pb1 S1'
_cell_length_a 5.204
_cell_length_b 5.204
_cell_length_c 5.509
_cell_angle_alpha 90.00
_cell_angle_beta 90.00
_cell_angle_gamma 90.00
_symmetry_space_group_name_H-M 'P 4/m m m'
_symmetry_Int_Tables_number 123
_symmetry_space_group_name_Hall '-P 4 2'
loop_
_atom_site_label
_atom_site_type_symbol
_atom_site_fract_x
_atom_site_fract_y
_atom_site_fract_z
La1 La 0.000 0.000 0.000
Y1 Y 0.000 0.500 0.500
Pb1 Pb 0.500 0.500 0.000
S1 S 0.000 0.000 0.500



# 12
# LaYPbS2 | Alexandria | PBE | optimized geometry
# Total DFT energy (no corrections)   -4.7601 eV/atom
# E_form (uncorrected)   -89.1 meV per atom
# Density of states at the Fermi level   6.44 states/eV per cell
# Crystal system   tetragonal
# Magnetic moment   0.00 Bohr magnetons per cell
data_LaYPbS2
_chemical_formula_sum 'La1 Y1 Pb1 S2'
_cell_length_a 5.355
_cell_length_b 5.355
_cell_length_c 6.665
_cell_angle_alpha 90.00
_cell_angle_beta 90.00
_cell_angle_gamma 90.00
_symmetry_space_group_name_H-M 'P 4/m m m'
_symmetry_Int_Tables_number 123
_symmetry_space_group_name_Hall '-P 4 2'
loop_
_atom_site_label
_atom_site_type_symbol
_atom_site_fract_x
_atom_site_fract_y
_atom_site_fract_z
La1 La 0.000 0.000 0.000
Y1 Y 0.000 0.000 0.500
Pb1 Pb 0.500 0.500 0.500
S1 S 0.000 0.500 0.000